Entry 1:
Density functional theory data (GGA-PBE) for an optimized crystal structure of Al2Cr.

Cell: 4.3991 4.3991 5.3788 Å, 90.00 90.00 120.00°
With the nearest neighbours (Å) after each atom.
Element x y z (fractional)
Al 0.0000 0.0000 0.5000  8 Al 2.69-2.87, 6 Cr 2.87
Cr 0.3333 0.6667 0.7500  5 Al 2.54-2.69
Al 0.6667 0.3333 0.7500  5 Cr 2.54-2.69
Cr 0.6667 0.3333 0.2500  5 Al 2.54-2.69
Al 0.0000 0.0000 0.0000  8 Al 2.69-2.87, 6 Cr 2.87
Al 0.3333 0.6667 0.2500  5 Cr 2.54-2.69

Results
* crystal system: hexagonal
* energy relative to the elements: 8.4 kJ/mol of atoms

=====

Entry 2:
Density functional theory data (GGA-PBE) for an optimized crystal structure of SiSbTeHF.

Cell: 4.9611 3.7816 13.5073 Å, 90.00 95.94 90.00°
With the nearest neighbours (Å) after each atom.
Element x y z (fractional)
F 0.3767 0.0000 0.1172  1 Si 1.64
H 0.8946 0.0000 0.1518  1 Si 1.49
Si 0.1736 0.0000 0.2054  1 H 1.49, 1 F 1.64
Sb 0.2691 0.5000 0.3444  2 Si 2.67
Te 0.8318 0.0000 0.3979  2 Sb 3.02, 1 Si 3.25, 1 H 3.37
F 0.3767 0.5000 0.6172  1 Si 1.64
Si 0.1736 0.5000 0.7054  1 H 1.49, 1 F 1.64
Te 0.8318 0.5000 0.8979  2 Sb 3.02, 1 Si 3.25, 1 H 3.37
H 0.8946 0.5000 0.6518  1 Si 1.49
Sb 0.2691 0.0000 0.8444  2 Si 2.67

Results
* crystal system: monoclinic

=====

Entry 3:
Density functional theory data (GGA-PBE) for an optimized crystal structure of Pr2SmAu8.

Cell: 5.2726 6.1452 8.6890 Å, 110.61 107.55 90.29°
With the nearest neighbours (Å) after each atom.
Element x y z (fractional)
Au 0.1266 0.3559 0.2591  3 Au 2.78-2.93
Sm 0.5000 0.0000 0.0000  6 Au 3.05-3.34
Au 0.2505 0.4985 0.0000  6 Au 2.63-2.93
Au 0.6982 0.1982 0.3964  1 Sm 3.05, 4 Pr 3.08-3.18, 6 Au 3.14-3.18
Au 0.8675 0.0968 0.7409  3 Au 2.78-2.93
Au 0.8734 0.6441 0.7409  3 Au 2.78-2.93
Pr 0.6861 0.6861 0.3722  12 Au 3.08-3.25
Au 0.3018 0.8018 0.6036  1 Sm 3.05, 4 Pr 3.08-3.18, 6 Au 3.14-3.18
Pr 0.3139 0.3139 0.6278  12 Au 3.08-3.25
Au 0.1325 0.9032 0.2591  3 Au 2.78-2.93
Au 0.7495 0.5015 0.0000  6 Au 2.63-2.93

Results
* crystal system: monoclinic
* energy relative to the elements: -64.2 kJ/mol of atoms

=====

Entry 4:
Density functional theory data (GGA-PBE) for an optimized crystal structure of CaCo2Tc2.

Cell: 7.5430 7.5430 2.6197 Å, 90.00 90.00 90.00°
With the nearest neighbours (Å) after each atom.
Element x y z (fractional)
Tc 0.1210 0.3790 0.0000  6 Co 2.57-2.61, 3 Tc 2.58-2.62
Co 0.6677 0.8323 0.5000  6 Tc 2.57-2.61, 2 Co 2.62
Co 0.8323 0.3323 0.5000  6 Tc 2.57-2.61, 2 Co 2.62
Ca 0.5000 0.5000 0.0000  2 Ca 2.62
Tc 0.3790 0.8790 0.0000  6 Co 2.57-2.61, 3 Tc 2.58-2.62
Co 0.3323 0.1677 0.5000  6 Tc 2.57-2.61, 2 Co 2.62
Co 0.1677 0.6677 0.5000  6 Tc 2.57-2.61, 2 Co 2.62
Tc 0.8790 0.6210 0.0000  6 Co 2.57-2.61, 3 Tc 2.58-2.62
Tc 0.6210 0.1210 0.0000  6 Co 2.57-2.61, 3 Tc 2.58-2.62
Ca 0.0000 0.0000 0.0000  2 Ca 2.62

Results
* crystal system: tetragonal
* energy relative to the elements: 22.9 kJ/mol of atoms

=====

Entry 5:
Density functional theory data (GGA-PBE) for an optimized crystal structure of SrIrAu2.

Cell: 4.8915 4.8915 9.6184 Å, 75.27 75.27 90.00°
With the nearest neighbours (Å) after each atom.
Element x y z (fractional)
Au 0.7542 0.1250 0.2500  2 Ir 2.62, 2 Au 2.72
Sr 0.5000 0.5000 0.0000  4 Au 3.16, 4 Ir 3.46
Au 0.9958 0.6250 0.2500  2 Ir 2.62, 2 Au 2.72
Au 0.8750 0.0042 0.7500  2 Ir 2.62, 2 Au 2.72
Ir 0.7500 0.2500 0.5000  4 Au 2.62
Sr 0.2500 0.7500 0.5000  4 Au 3.16, 4 Ir 3.46
Au 0.3750 0.2458 0.7500  2 Ir 2.62, 2 Au 2.72
Ir 0.0000 0.0000 0.0000  4 Au 2.62

Results
* crystal system: tetragonal
* energy relative to the elements: 4.6 kJ/mol of atoms

=====

Entry 6:
Density functional theory data (GGA-PBE) for an optimized crystal structure of BaNaNiSe2.

Cell: 6.0294 6.2066 6.0294 Å, 90.00 90.00 90.00°
With the nearest neighbours (Å) after each atom.
Element x y z (fractional)
Na 0.0000 0.5000 0.0000  2 Ba 3.10
Ni 0.5000 0.5000 0.5000  4 Na 4.26, 8 Se 4.33
Se 0.0000 0.0000 0.5000  2 Ba 3.01
Ba 0.0000 0.0000 0.0000  4 Se 3.01, 2 Na 3.10
Se 0.5000 0.0000 0.0000  2 Ba 3.01

Results
* crystal system: tetragonal
* formation energy (no corrections): 0.683 eV per atom

=====

Entry 7:
Density functional theory data (GGA-PBE) for an optimized crystal structure of TlHg5H6.

Cell: 7.4443 8.3764 7.2623 Å, 120.89 100.71 125.78°
With the nearest neighbours (Å) after each atom.
Element x y z (fractional)
H 0.6091 0.8869 0.1138  1 Hg 1.68
H 0.7311 0.4427 0.5453  1 Hg 1.68
Hg 0.3282 0.8342 0.6693  2 H 1.68
Tl 0.0000 0.0000 0.0000  6 H 2.74-3.05
H 0.3909 0.1131 0.8862  1 Hg 1.68
Hg 0.6718 0.1658 0.3307  2 H 1.68
H 0.1052 0.8112 0.2217  1 Hg 1.68
Hg 0.6730 0.6730 0.3265  2 H 2.69
Hg 0.3270 0.3270 0.6735  2 H 2.69
H 0.2689 0.5573 0.4547  1 Hg 1.68
Hg 0.0000 0.5000 0.0000  2 H 1.68
H 0.8948 0.1888 0.7783  1 Hg 1.68

Results
* crystal system: triclinic

=====

Entry 8:
Density functional theory data (GGA-PBE) for an optimized crystal structure of Ge2SeI.

Cell: 7.7457 7.7457 6.6368 Å, 54.30 54.30 90.00°
With the nearest neighbours (Å) after each atom.
Element x y z (fractional)
Ge 0.1662 0.6250 0.2500  2 Se 2.69
Ge 0.8750 0.8338 0.7500  2 Se 2.69
Se 0.2500 0.7500 0.5000  4 Ge 2.69
Se 0.5000 0.5000 0.0000  4 Ge 2.69
I 0.0000 0.0000 0.0000  4 Ge 3.12
Ge 0.3750 0.4162 0.7500  2 Se 2.69
I 0.7500 0.2500 0.5000  4 Ge 3.12
Ge 0.5838 0.1250 0.2500  2 Se 2.69

Results
* crystal system: tetragonal
* formation energy (no corrections): 0.128 eV per atom

=====

Entry 9:
Density functional theory data (GGA-PBE) for an optimized crystal structure of P2PdO2.

Cell: 3.8306 3.8306 4.9840 Å, 90.00 90.00 90.00°
With the nearest neighbours (Å) after each atom.
Element x y z (fractional)
P 0.5000 0.5000 0.5000  4 P 2.71
P 0.0000 0.0000 0.5000  2 Pd 2.49, 4 P 2.71
O 0.5000 0.0000 0.0000  2 Pd 1.92
Pd 0.0000 0.0000 0.0000  4 O 1.92
O 0.0000 0.5000 0.0000  2 Pd 1.92

Results
* crystal system: tetragonal
* formation energy (no corrections): 0.509 eV per atom

=====

Entry 10:
Density functional theory data (GGA-PBE) for an optimized crystal structure of CeYTlIn.

Cell: 5.4259 5.4259 5.4259 Å, 60.00 60.00 60.00°
With the nearest neighbours (Å) after each atom.
Element x y z (fractional)
In 0.5000 0.5000 0.5000  4 Ce 3.32, 4 Y 3.32
Ce 0.2500 0.2500 0.2500  4 Tl 3.32, 4 In 3.32
Tl 0.0000 0.0000 0.0000  4 Y 3.32, 4 Ce 3.32
Y 0.7500 0.7500 0.7500  4 Tl 3.32, 4 In 3.32

Results
* crystal system: cubic
* energy relative to the elements: -34.2 kJ/mol of atoms

=====

Entry 11:
Density functional theory data (GGA-PBE) for an optimized crystal structure of Tl8SbPb3.

Cell: 6.0138 6.0138 11.8893 Å, 90.00 90.00 120.00°
With the nearest neighbours (Å) after each atom.
Element x y z (fractional)
Tl 0.6712 0.0000 0.7475  8 Tl 3.42-3.57, 1 Sb 3.55, 3 Pb 3.59-3.62
Tl 0.3288 0.0000 0.2525  8 Tl 3.42-3.57, 1 Sb 3.55, 3 Pb 3.59-3.62
Pb 0.0000 0.0000 0.0000  6 Pb 3.47, 6 Tl 3.59
Tl 0.3333 0.6667 0.5000  9 Tl 3.47-3.57, 3 Sb 3.47
Tl 0.3287 0.3288 0.7475  8 Tl 3.42-3.57, 1 Sb 3.55, 3 Pb 3.59-3.62
Tl 0.0000 0.6713 0.7475  8 Tl 3.42-3.57, 1 Sb 3.55, 3 Pb 3.59-3.62
Pb 0.3333 0.6667 0.0000  6 Pb 3.47, 6 Tl 3.62
Tl 0.0000 0.3287 0.2525  8 Tl 3.42-3.57, 1 Sb 3.55, 3 Pb 3.59-3.62
Tl 0.6713 0.6712 0.2525  8 Tl 3.42-3.57, 1 Sb 3.55, 3 Pb 3.59-3.62
Sb 0.0000 0.0000 0.5000  12 Tl 3.47-3.55
Pb 0.6667 0.3333 0.0000  6 Pb 3.47, 6 Tl 3.62
Tl 0.6667 0.3333 0.5000  9 Tl 3.47-3.57, 3 Sb 3.47

Results
* crystal system: trigonal
* formation energy (no corrections): 0.022 eV per atom

=====

Entry 12:
Density functional theory data (GGA-PBE) for an optimized crystal structure of PaVTc2.

Cell: 4.5787 4.5787 4.5787 Å, 60.00 60.00 60.00°
With the nearest neighbours (Å) after each atom.
Element x y z (fractional)
Tc 0.7500 0.7500 0.7500  4 Pa 2.80, 4 V 2.80
Tc 0.2500 0.2500 0.2500  4 Pa 2.80, 4 V 2.80
V 0.5000 0.5000 0.5000  8 Tc 2.80
Pa 0.0000 0.0000 0.0000  8 Tc 2.80

Results
* crystal system: cubic
* energy relative to the elements: -12.5 kJ/mol of atoms

=====

DFT total energy readings, ordered: -5.62, -4.15, -4.35, -7.15, -4.23, -2.52, -1.72, -3.44, -4.68, -4.73, -2.83, -9.97 eV/atom
Ρ readings, ordered: 3.90, 3.92, 13.38, 7.89, 10.42, 2.77, 8.93, 5.19, 4.55, 8.06, 10.61, 11.69 g/cm³